No. 1
VASP calculation (GGA-PBE) on a relaxed structure of CaMnRh.

The structure in POSCAR format:
```
CaMnRh
1.0
4.123 0.000 0.000
0.000 4.123 0.000
0.000 0.000 7.215
Ca Mn Rh
2 2 2
Direct
0.250 0.250 0.158
0.750 0.750 0.842
0.250 0.750 0.500
0.750 0.250 0.500
0.250 0.250 0.716
0.750 0.750 0.284
```

Output
ΔH_f (0 K) = -0.19 eV per atom

No. 2
VASP calculation (GGA-PBE) on a relaxed structure of CaMnRh.

The structure in POSCAR format:
```
CaMnRh
1.0
0.000 3.222 3.222
3.222 0.000 3.222
3.222 3.222 0.000
Ca Mn Rh
1 1 1
Direct
0.000 0.000 0.000
0.250 0.250 0.250
0.750 0.750 0.750
```

Output
ΔH_f (0 K) = 0.82 eV per atom

No. 3
VASP calculation (GGA-PBE) on a relaxed structure of CaMnRh2.

The structure in POSCAR format:
```
CaMnRh2
1.0
0.000 3.240 3.240
3.240 0.000 3.240
3.240 3.240 0.000
Ca Mn Rh
1 1 2
Direct
0.000 0.000 0.000
0.250 0.250 0.250
0.500 0.500 0.500
0.750 0.750 0.750
```

Output
ΔH_f (0 K) = 0.11 eV per atom

No. 4
VASP calculation (GGA-PBE) on a relaxed structure of CaMnRh.

The structure in POSCAR format:
```
CaMnRh
1.0
5.343 -2.003 0.000
5.343 2.003 0.000
-4.053 0.000 5.847
Ca Mn Rh
2 2 2
Direct
0.000 0.000 0.000
0.152 0.152 0.590
0.434 0.434 0.584
0.799 0.799 0.362
0.352 0.352 0.184
0.678 0.678 0.927
```

Output
ΔH_f (0 K) = -0.03 eV per atom

No. 5
VASP calculation (GGA-PBE) on a relaxed structure of CaMnRh.

The structure in POSCAR format:
```
CaMnRh
1.0
2.859 0.000 0.000
0.000 4.995 0.000
-0.072 0.000 7.441
Ca Mn Rh
2 2 2
Direct
0.000 0.000 0.000
0.028 0.500 0.269
0.999 0.303 0.634
0.999 0.697 0.634
0.503 0.000 0.432
0.505 0.500 0.896
```

Output
ΔH_f (0 K) = 0.17 eV per atom

No. 6
VASP calculation (GGA-PBE) on a relaxed structure of CaMnRh.

The structure in POSCAR format:
```
CaMnRh
1.0
2.036 -5.247 0.000
2.036 5.247 0.000
0.000 0.000 5.675
Ca Mn Rh
2 2 2
Direct
0.210 0.790 0.750
0.790 0.210 0.250
0.500 0.500 0.000
0.500 0.500 0.500
0.070 0.930 0.250
0.930 0.070 0.750
```

Output
ΔH_f (0 K) = -0.16 eV per atom

No. 7
VASP calculation (GGA-PBE) on a relaxed structure of CaMnRh2.

The structure in POSCAR format:
```
CaMnRh2
1.0
-3.591 3.591 2.832
3.591 -3.591 2.832
3.591 3.591 -2.832
Ca Mn Rh
2 2 4
Direct
0.000 0.000 0.000
0.750 0.250 0.500
0.250 0.750 0.500
0.500 0.500 0.000
0.173 0.625 0.048
0.375 0.423 0.548
0.577 0.125 0.952
0.875 0.827 0.452
```

Output
ΔH_f (0 K) = 0.15 eV per atom

No. 8
VASP calculation (GGA-PBE) on a relaxed structure of CaMnRh2.

The structure in POSCAR format:
```
CaMnRh2
1.0
4.539 0.000 0.000
0.000 4.539 0.000
0.000 0.000 3.221
Ca Mn Rh
1 1 2
Direct
0.000 0.000 0.000
0.500 0.500 0.000
0.000 0.500 0.500
0.500 0.000 0.500
```

Output
ΔH_f (0 K) = -0.11 eV per atom

No. 9
VASP calculation (GGA-PBE) on a relaxed structure of CaMnRh2.

The structure in POSCAR format:
```
CaMnRh2
1.0
4.255 -1.531 0.000
4.255 1.531 0.000
-1.148 0.000 5.482
Ca Mn Rh
1 1 2
Direct
0.000 0.000 0.000
0.500 0.500 0.500
0.236 0.236 0.694
0.764 0.764 0.306
```

Output
ΔH_f (0 K) = 0.00 eV per atom

No. 10
VASP calculation (GGA-PBE) on a relaxed structure of CaMnRh.

The structure in POSCAR format:
```
CaMnRh
1.0
-2.692 2.822 3.642
2.692 -2.822 3.642
2.692 2.822 -3.642
Ca Mn Rh
2 2 2
Direct
0.381 0.131 0.250
0.619 0.869 0.750
0.000 0.000 0.500
0.000 0.500 0.000
0.000 0.500 0.500
0.500 0.500 0.000
```

Output
ΔH_f (0 K) = -0.17 eV per atom

No. 11
VASP calculation (GGA-PBE) on a relaxed structure of CaMnRh.

The structure in POSCAR format:
```
CaMnRh
1.0
-1.609 7.661 2.258
1.609 -7.661 2.258
1.609 7.661 -2.258
Ca Mn Rh
2 2 2
Direct
0.176 0.000 0.176
0.824 0.000 0.824
0.268 0.268 0.000
0.957 0.457 0.500
0.415 0.015 0.400
0.614 0.015 0.600
```

Output
ΔH_f (0 K) = 0.07 eV per atom

No. 12
VASP calculation (GGA-PBE) on a relaxed structure of CaMnRh.

The structure in POSCAR format:
```
CaMnRh
1.0
4.266 0.000 0.000
-2.133 3.694 0.000
0.000 0.000 4.055
Ca Mn Rh
1 1 1
Direct
0.000 0.000 0.000
0.667 0.333 0.500
0.333 0.667 0.500
```

Output
ΔH_f (0 K) = 0.00 eV per atom

No. 13
VASP calculation (GGA-PBE) on a relaxed structure of CaMnRh.

The structure in POSCAR format:
```
CaMnRh
1.0
0.000 3.025 3.025
3.025 0.000 3.025
3.025 3.025 0.000
Ca Mn Rh
1 1 1
Direct
0.000 0.000 0.000
0.750 0.750 0.750
0.500 0.500 0.500
```

Output
ΔH_f (0 K) = 0.67 eV per atom

No. 14
VASP calculation (GGA-PBE) on a relaxed structure of CaMnRh.

The structure in POSCAR format:
```
CaMnRh
1.0
5.679 -1.536 0.000
5.679 1.536 0.000
-2.384 0.000 6.320
Ca Mn Rh
2 2 2
Direct
0.000 0.000 0.000
0.000 0.000 0.500
0.291 0.291 0.607
0.709 0.709 0.393
0.286 0.286 0.177
0.714 0.714 0.823
```

Output
ΔH_f (0 K) = 0.12 eV per atom

No. 15
VASP calculation (GGA-PBE) on a relaxed structure of CaMnRh2.

The structure in POSCAR format:
```
CaMnRh2
1.0
-1.976 1.976 4.345
1.976 -1.976 4.345
1.976 1.976 -4.345
Ca Mn Rh
1 1 2
Direct
0.000 0.000 0.000
0.250 0.750 0.500
0.500 0.500 0.000
0.750 0.250 0.500
```

Output
ΔH_f (0 K) = 0.04 eV per atom

No. 16
VASP calculation (GGA-PBE) on a relaxed structure of CaMnRh.

The structure in POSCAR format:
```
CaMnRh
1.0
-2.155 3.537 3.562
2.155 -3.537 3.562
2.155 3.537 -3.562
Ca Mn Rh
2 2 2
Direct
0.000 0.000 0.000
0.646 0.146 0.500
0.264 0.406 0.858
0.548 0.406 0.142
0.041 0.727 0.314
0.414 0.727 0.686
```

Output
ΔH_f (0 K) = 0.01 eV per atom

No. 17
VASP calculation (GGA-PBE) on a relaxed structure of CaMnRh.

The structure in POSCAR format:
```
CaMnRh
1.0
3.084 0.000 0.000
-0.161 5.428 0.000
-1.377 -2.670 6.603
Ca Mn Rh
2 2 2
Direct
0.000 0.000 0.000
0.430 0.371 0.732
0.132 0.598 0.220
0.676 0.447 0.345
0.246 0.806 0.610
0.693 0.013 0.363
```

Output
ΔH_f (0 K) = 0.14 eV per atom

No. 18
VASP calculation (GGA-PBE) on a relaxed structure of CaMnRh.

The structure in POSCAR format:
```
CaMnRh
1.0
-1.666 1.666 5.337
1.666 -1.666 5.337
1.666 1.666 -5.337
Ca Mn Rh
1 1 1
Direct
0.000 0.000 0.000
0.287 0.287 0.000
0.685 0.685 0.000
```

Output
ΔH_f (0 K) = -0.04 eV per atom

No. 19
VASP calculation (GGA-PBE) on a relaxed structure of CaMnRh2.

The structure in POSCAR format:
```
CaMnRh2
1.0
5.148 -1.496 0.000
5.148 1.496 0.000
-1.741 0.000 4.434
Ca Mn Rh
1 1 2
Direct
0.000 0.000 0.000
0.784 0.784 0.372
0.241 0.241 0.857
0.519 0.519 0.501
```

Output
ΔH_f (0 K) = -0.05 eV per atom

No. 20
VASP calculation (GGA-PBE) on a relaxed structure of CaMnRh.

The structure in POSCAR format:
```
CaMnRh
1.0
3.209 0.000 0.000
0.009 5.178 0.000
0.003 1.102 7.405
Ca Mn Rh
2 2 2
Direct
0.000 0.000 0.000
0.000 0.423 0.355
0.000 0.865 0.599
0.501 0.625 0.704
0.500 0.182 0.683
0.500 0.917 0.342
```

Output
ΔH_f (0 K) = 0.10 eV per atom

No. 21
VASP calculation (GGA-PBE) on a relaxed structure of CaMnRh.

The structure in POSCAR format:
```
CaMnRh
1.0
5.114 0.000 0.000
0.000 4.587 0.000
-1.373 0.000 5.390
Ca Mn Rh
2 2 2
Direct
0.223 0.250 0.416
0.777 0.750 0.584
0.353 0.750 0.986
0.647 0.250 0.014
0.120 0.250 0.901
0.880 0.750 0.099
```

Output
ΔH_f (0 K) = -0.12 eV per atom

No. 22
VASP calculation (GGA-PBE) on a relaxed structure of CaMn4Rh.

The structure in POSCAR format:
```
CaMn4Rh
1.0
0.000 3.473 3.473
3.473 0.000 3.473
3.473 3.473 0.000
Ca Mn Rh
1 4 1
Direct
0.000 0.000 0.000
0.126 0.625 0.625
0.625 0.126 0.625
0.625 0.625 0.126
0.625 0.625 0.625
0.250 0.250 0.250
```

Output
ΔH_f (0 K) = 0.36 eV per atom

No. 23
VASP calculation (GGA-PBE) on a relaxed structure of CaMnRh.

The structure in POSCAR format:
```
CaMnRh
1.0
3.345 0.000 0.000
-1.672 2.896 0.000
0.000 0.000 6.502
Ca Mn Rh
1 1 1
Direct
0.000 0.000 0.000
0.667 0.333 0.423
0.333 0.667 0.678
```

Output
ΔH_f (0 K) = 0.30 eV per atom

No. 24
VASP calculation (GGA-PBE) on a relaxed structure of CaMnRh2.

The structure in POSCAR format:
```
CaMnRh2
1.0
1.540 0.889 8.373
-1.540 0.889 8.373
0.000 -1.778 8.373
Ca Mn Rh
1 1 2
Direct
0.000 0.000 0.000
0.500 0.500 0.500
0.242 0.242 0.242
0.758 0.758 0.758
```

Output
ΔH_f (0 K) = 0.09 eV per atom

No. 25
VASP calculation (GGA-PBE) on a relaxed structure of CaMnRh.

The structure in POSCAR format:
```
CaMnRh
1.0
4.155 0.000 0.000
0.000 3.862 0.000
-0.725 0.000 7.300
Ca Mn Rh
2 2 2
Direct
0.229 0.250 0.345
0.771 0.750 0.655
0.160 0.750 0.014
0.840 0.250 0.986
0.328 0.250 0.826
0.672 0.750 0.174
```

Output
ΔH_f (0 K) = 0.04 eV per atom

No. 26
VASP calculation (GGA-PBE) on a relaxed structure of CaMnRh.

The structure in POSCAR format:
```
CaMnRh
1.0
5.434 -2.084 0.000
5.434 2.084 0.000
-2.452 0.000 5.255
Ca Mn Rh
2 2 2
Direct
0.118 0.118 0.292
0.882 0.882 0.708
0.416 0.416 0.324
0.584 0.584 0.676
0.200 0.200 0.843
0.800 0.800 0.157
```

Output
ΔH_f (0 K) = 0.10 eV per atom

No. 27
VASP calculation (GGA-PBE) on a relaxed structure of CaMnRh.

The structure in POSCAR format:
```
CaMnRh
1.0
4.263 0.000 0.000
0.000 3.954 0.000
-0.464 0.000 7.053
Ca Mn Rh
2 2 2
Direct
0.000 0.000 0.000
0.478 0.500 0.682
0.451 0.000 0.344
0.554 0.500 0.199
0.047 0.500 0.328
0.936 0.000 0.543
```

Output
ΔH_f (0 K) = 0.10 eV per atom

No. 28
VASP calculation (GGA-PBE) on a relaxed structure of Ca2MnRh2.

The structure in POSCAR format:
```
Ca2MnRh2
1.0
4.920 -2.837 0.000
4.920 2.837 0.000
-1.664 0.000 7.545
Ca Mn Rh
4 2 4
Direct
0.014 0.282 0.147
0.282 0.014 0.647
0.718 0.986 0.353
0.986 0.718 0.853
0.393 0.607 0.250
0.607 0.393 0.750
0.233 0.503 0.497
0.497 0.767 0.003
0.503 0.233 0.997
0.767 0.497 0.503
```

Output
ΔH_f (0 K) = -0.29 eV per atom